1.
BaErPt10, relaxed, DFT GGA-PBE; electronic total energy = -73.9 eV for the cell shown; crystal system = orthorhombic
1.0
4.427 0.000 0.000
0.000 5.482 0.000
0.000 0.000 9.459
Pt Ba Er
10 1 1
direct
0.500 0.000 0.500 Pt
0.500 0.746 0.741 Pt
0.000 0.000 0.343 Pt
0.000 0.000 0.657 Pt
0.000 0.500 0.819 Pt
0.500 0.254 0.259 Pt
0.500 0.254 0.741 Pt
0.500 0.746 0.259 Pt
0.000 0.500 0.181 Pt
0.500 0.500 0.000 Pt
0.000 0.000 0.000 Ba
0.000 0.500 0.500 Er

2.
EuSiPd, relaxed, DFT GGA-PBE; electronic total energy = -93.1 eV for the cell shown; crystal system = cubic; ΔE_f (raw) = -793 meV per atom
1.0
-5.148 -3.536 1.629
2.549 -1.020 5.841
-2.943 5.302 2.210
Si Eu Pd
4 4 4
direct
0.329 0.671 0.171 Si
0.171 0.329 0.671 Si
0.671 0.171 0.329 Si
0.829 0.829 0.829 Si
0.622 0.378 0.878 Eu
0.878 0.622 0.378 Eu
0.122 0.122 0.122 Eu
0.378 0.878 0.622 Eu
0.414 0.414 0.414 Pd
0.914 0.086 0.586 Pd
0.086 0.586 0.914 Pd
0.586 0.914 0.086 Pd

3.
Tl3TcBr6Cl2, relaxed, DFT GGA-PBE; electronic total energy = -38.5 eV for the cell shown; crystal system = monoclinic; ΔE_f (raw) = -613 meV per atom
1.0
6.517 0.000 0.110
0.000 8.654 0.000
-0.794 -4.327 7.775
Tl Tc Br Cl
3 1 6 2
direct
0.500 0.000 0.500 Tl
0.000 0.500 0.000 Tl
0.500 0.500 0.500 Tl
0.500 0.000 0.000 Tc
0.733 0.879 0.758 Br
0.279 0.718 0.847 Br
0.721 0.871 0.153 Br
0.721 0.282 0.153 Br
0.267 0.121 0.242 Br
0.279 0.129 0.847 Br
0.234 0.672 0.345 Cl
0.766 0.328 0.655 Cl

4.
RbCd2Sn10, relaxed, DFT GGA-PBE; electronic total energy = -42.7 eV for the cell shown; crystal system = orthorhombic
1.0
-1.739 -3.500 -4.776
-1.137 -8.435 2.608
-8.062 -0.300 -0.832
Sn Cd Rb
10 2 1
direct
0.641 0.357 0.360 Sn
0.506 0.763 0.225 Sn
0.494 0.237 0.775 Sn
0.359 0.643 0.640 Sn
0.998 0.643 0.360 Sn
0.000 0.000 0.500 Sn
0.002 0.357 0.640 Sn
0.269 0.237 0.225 Sn
0.731 0.763 0.775 Sn
0.500 0.000 0.500 Sn
0.500 0.500 0.000 Cd
0.000 0.500 0.000 Cd
0.000 0.000 0.000 Rb

5.
LaNd2HoTl4, relaxed, DFT GGA-PBE; electronic total energy = -31.5 eV for the cell shown; crystal system = trigonal
1.0
5.507 0.000 0.000
2.753 4.769 0.000
2.753 1.590 9.040
Tl La Nd Ho
4 1 2 1
direct
0.377 0.377 0.868 Tl
0.623 0.623 0.132 Tl
0.873 0.873 0.381 Tl
0.127 0.127 0.619 Tl
0.000 0.000 0.000 La
0.751 0.751 0.747 Nd
0.249 0.249 0.253 Nd
0.500 0.500 0.500 Ho

6.
Ce2Tm2Si4Rh, relaxed, DFT GGA-PBE; electronic total energy = -53.4 eV for the cell shown; crystal system = tetragonal; ΔE_f (raw) = -399 meV per atom
1.0
-2.995 -4.783 -2.969
5.541 1.550 -2.747
1.748 -1.475 5.952
Tm Ce Si Rh
2 2 4 1
direct
0.500 0.250 0.750 Tm
0.500 0.750 0.250 Tm
0.000 0.327 0.327 Ce
0.000 0.673 0.673 Ce
0.483 0.241 0.241 Si
0.517 0.759 0.759 Si
0.000 0.241 0.759 Si
0.000 0.759 0.241 Si
0.000 0.000 0.000 Rh